i) An optimized crystal structure of ReH2O, computed with PBE.

It has space group I-42d (No. 122), with a = 6.175 Å, b = 6.175 Å, c = 3.757 Å, α = 90.00°, β = 90.00° and γ = 90.00°. The inequivalent atoms are Re at (0.000, 0.000, 0.000), H at (0.139, 0.750, 0.125) and O at (0.000, 0.000, 0.500).

For the density of states at the Fermi level, the calculation gives 5.7 states/eV per cell. The calculation puts the total magnetization at 0.0 μB/cell.

---

ii) An optimized crystal structure of ReH2O, computed with PBE.

It has space group Fm-3m (No. 225), with a = 4.806 Å, b = 4.806 Å, c = 4.806 Å, α = 90.00°, β = 90.00° and γ = 90.00°. The inequivalent atoms are Re at (0.000, 0.000, 0.000), H at (0.250, 0.250, 0.250) and O at (0.000, 0.000, 0.500).

For the density of states at the Fermi level, the calculation gives 6.7 states/eV per cell. The calculation puts the total magnetization at 5.9 μB/cell.

---

Quick one: most stable of them? i)

---

i) An optimized crystal structure of HRh2O, computed with PBE.

It has space group Fm-3m (No. 225), with a = 5.436 Å, b = 5.436 Å, c = 5.436 Å, α = 90.00°, β = 90.00° and γ = 90.00°. The inequivalent atoms are H at (0.000, 0.000, 0.000), Rh at (0.250, 0.250, 0.250) and O at (0.000, 0.000, 0.500).

For the density of states at the Fermi level, the calculation gives 17.4 states/eV per cell. The calculation puts the total magnetization at 0.0 μB/cell.

---

ii) An optimized crystal structure of HRh2O, computed with PBE.

It has space group I-42d (No. 122), with a = 4.512 Å, b = 4.512 Å, c = 8.546 Å, α = 90.00°, β = 90.00° and γ = 90.00°. The inequivalent atoms are H at (0.000, 0.000, 0.000), Rh at (0.206, 0.250, 0.125) and O at (0.000, 0.000, 0.500).

For the density of states at the Fermi level, the calculation gives 21.2 states/eV per cell. The calculation puts the total magnetization at 0.0 μB/cell.

---

Quick one: most stable of them? ii)

---

i) An optimized crystal structure of HRhO, computed with PBE.

It has space group Immm (No. 71), with a = 2.781 Å, b = 3.458 Å, c = 10.926 Å, α = 90.00°, β = 90.00° and γ = 90.00°. The inequivalent atoms are H at (0.000, 0.136, 0.000), Rh at (0.000, 0.500, 0.367) and O at (0.000, 0.500, 0.169).

For the density of states at the Fermi level, the calculation gives 7.0 states/eV per cell. The calculation puts the total magnetization at 0.0 μB/cell.

---

ii) An optimized crystal structure of HRhO, computed with PBE.

It has space group I4mm (No. 107), with a = 3.026 Å, b = 3.026 Å, c = 6.757 Å, α = 90.00°, β = 90.00° and γ = 90.00°. The inequivalent atoms are H at (0.000, 0.000, 0.000), Rh at (0.000, 0.000, 0.709) and O at (0.000, 0.000, 0.157).

For the density of states at the Fermi level, the calculation gives 3.8 states/eV per cell. The calculation puts the total magnetization at 0.6 μB/cell.

---

Quick one: most stable of them? ii)

---

i) An optimized crystal structure of HRu2O2, computed with PBE.

It has space group I4/mmm (No. 139), with a = 4.137 Å, b = 4.137 Å, c = 6.106 Å, α = 90.00°, β = 90.00° and γ = 90.00°. The inequivalent atoms are H at (0.000, 0.000, 0.000), Ru at (0.000, 0.000, 0.293) and O at (0.000, 0.500, 0.250).

For the density of states at the Fermi level, the calculation gives 7.4 states/eV per cell. The calculation puts the total magnetization at 4.9 μB/cell.

---

ii) An optimized crystal structure of HRu2O2, computed with PBE.

It has space group P4/mbm (No. 127), with a = 5.428 Å, b = 5.428 Å, c = 3.675 Å, α = 90.00°, β = 90.00° and γ = 90.00°. The inequivalent atoms are H at (0.000, 0.000, 0.000), Ru at (0.187, 0.313, 0.000) and O at (0.186, 0.314, 0.500).

For the density of states at the Fermi level, the calculation gives 5.2 states/eV per cell. The calculation puts the total magnetization at 0.0 μB/cell.

---

Quick one: most stable of them? ii)